--- w ---
A plane-wave DFT calculation with PBE was carried out for AlSeSN2 after structural relaxation.

The crystal system is tetragonal.

The space group is P4/mmm (No. 123) and the conventional cell measures 3.666, 3.666 and 6.258 Å, with angles of 90.00, 90.00 and 90.00 degrees. Symmetry generates all atoms from Al at (0.000, 0.000, 0.000), Se at (0.500, 0.500, 0.500), S at (0.500, 0.500, 0.000) and N at (0.000, 0.500, 0.500).



--- x ---
A plane-wave DFT calculation with PBE was carried out for AlSeSN2 after structural relaxation.

The crystal system is tetragonal.

The space group is P4/mmm (No. 123) and the conventional cell measures 3.599, 3.599 and 7.156 Å, with angles of 90.00, 90.00 and 90.00 degrees. Symmetry generates all atoms from Al at (0.000, 0.000, 0.000), Se at (0.500, 0.500, 0.500), S at (0.000, 0.000, 0.500) and N at (0.000, 0.500, 0.000).



--- y ---
A plane-wave DFT calculation with PBE was carried out for AlSeSN2 after structural relaxation.

The crystal system is tetragonal.

The space group is P4/mmm (No. 123) and the conventional cell measures 3.502, 3.502 and 6.192 Å, with angles of 90.00, 90.00 and 90.00 degrees. Symmetry generates all atoms from Al at (0.000, 0.000, 0.000), Se at (0.500, 0.500, 0.000), S at (0.000, 0.000, 0.500) and N at (0.000, 0.500, 0.500).



Of them, the most stable is x and the least stable is w.



--- w ---
A plane-wave DFT calculation with PBE was carried out for AlSiSN2 after structural relaxation.

The crystal system is tetragonal.

The space group is P4/mmm (No. 123) and the conventional cell measures 3.442, 3.442 and 5.620 Å, with angles of 90.00, 90.00 and 90.00 degrees. Symmetry generates all atoms from Al at (0.000, 0.000, 0.000), Si at (0.500, 0.500, 0.500), S at (0.500, 0.500, 0.000) and N at (0.000, 0.500, 0.500).



--- x ---
A plane-wave DFT calculation with PBE was carried out for AlSiSN2 after structural relaxation.

The crystal system is tetragonal.

The space group is P4/mmm (No. 123) and the conventional cell measures 3.649, 3.649 and 5.259 Å, with angles of 90.00, 90.00 and 90.00 degrees. Symmetry generates all atoms from Al at (0.000, 0.000, 0.000), Si at (0.500, 0.500, 0.500), S at (0.000, 0.000, 0.500) and N at (0.000, 0.500, 0.000).



Of them, the most stable is w and the least stable is x.



--- w ---
A plane-wave DFT calculation with PBE was carried out for SrAlS2N after structural relaxation.

The crystal system is tetragonal.

The space group is P4/mmm (No. 123) and the conventional cell measures 5.649, 5.649 and 4.944 Å, with angles of 90.00, 90.00 and 90.00 degrees. Symmetry generates all atoms from Sr at (0.000, 0.000, 0.000), Al at (0.500, 0.500, 0.500), S at (0.000, 0.500, 0.000) and N at (0.000, 0.000, 0.500).



--- x ---
A plane-wave DFT calculation with PBE was carried out for SrAlS2N after structural relaxation.

The crystal system is tetragonal.

The space group is P4/mmm (No. 123) and the conventional cell measures 4.907, 4.907 and 3.843 Å, with angles of 90.00, 90.00 and 90.00 degrees. Symmetry generates all atoms from Sr at (0.000, 0.000, 0.000), Al at (0.500, 0.500, 0.500), S at (0.000, 0.500, 0.500) and N at (0.500, 0.500, 0.000).



Of them, the most stable is x and the least stable is w.



--- w ---
A plane-wave DFT calculation with PBE was carried out for TaAlS2N after structural relaxation.

The crystal system is tetragonal.

The space group is P4/mmm (No. 123) and the conventional cell measures 4.926, 4.926 and 3.897 Å, with angles of 90.00, 90.00 and 90.00 degrees. Symmetry generates all atoms from Ta at (0.000, 0.000, 0.000), Al at (0.500, 0.500, 0.500), S at (0.000, 0.500, 0.000) and N at (0.000, 0.000, 0.500).



--- x ---
A plane-wave DFT calculation with PBE was carried out for TaAlS2N after structural relaxation.

The crystal system is tetragonal.

The space group is P4/mmm (No. 123) and the conventional cell measures 4.633, 4.633 and 3.531 Å, with angles of 90.00, 90.00 and 90.00 degrees. Symmetry generates all atoms from Ta at (0.000, 0.000, 0.000), Al at (0.500, 0.500, 0.500), S at (0.000, 0.500, 0.500) and N at (0.500, 0.500, 0.000).



Of them, the most stable is w and the least stable is x.